[1]
TiRe3Br PBEsol optimized geometry; formation energy (no corrections) = 2481 meV/atom; space-group type = Pm-3m, No. 221; DOS at the Fermi energy = 7.578 states/eV/cell; M_tot = 0.07 μB per formula unit; calculated total energy = -37.79 eV/cell
1.0
-0.866 -3.520 -2.796
3.271 1.459 -2.851
3.083 -2.537 2.239
Re Br Ti
3 1 1
Direct
0.000 0.500 0.000 Re
0.500 0.000 0.000 Re
0.000 0.000 0.500 Re
0.500 0.500 0.500 Br
0.000 0.000 0.000 Ti

[2]
ReW2Br PBEsol optimized geometry; formation energy (no corrections) = 1216 meV/atom; space-group type = F-43m, No. 216; DOS at the Fermi energy = 3.929 states/eV/cell; M_tot = 0.00 μB per formula unit; calculated total energy = -37.95 eV/cell
1.0
-0.509 4.138 1.651
-1.902 0.593 4.017
2.486 1.347 3.480
Re W Br
1 2 1
Direct
0.250 0.250 0.250 Re
0.750 0.750 0.750 W
0.000 0.000 0.000 W
0.500 0.500 0.500 Br

[3]
ReW2Br PBEsol optimized geometry; formation energy (no corrections) = 1026 meV/atom; space-group type = Pmmm, No. 47; DOS at the Fermi energy = 2.447 states/eV/cell; M_tot = 0.00 μB per formula unit; calculated total energy = -38.71 eV/cell
1.0
-0.258 0.721 -2.896
3.143 -3.131 -1.059
-3.306 -3.152 -0.491
Br Re W
1 1 2
Direct
0.500 0.000 0.500 Br
0.000 0.500 0.500 Re
0.500 0.500 0.000 W
0.000 0.000 0.000 W

[4]
ReW2Br PBEsol optimized geometry; formation energy (no corrections) = 663 meV/atom; space-group type = P4mm, No. 99; DOS at the Fermi energy = 1.482 states/eV/cell; M_tot = 0.00 μB per formula unit; calculated total energy = -40.16 eV/cell
1.0
-0.995 -1.388 2.501
1.215 -2.602 -0.961
5.953 1.581 3.247
W Br Re
2 1 1
Direct
0.000 0.000 0.991 W
0.500 0.500 0.245 W
0.000 0.000 0.491 Br
0.500 0.500 0.773 Re

[5]
ReWBr2 PBEsol optimized geometry; formation energy (no corrections) = 1378 meV/atom; space-group type = Pmmm, No. 47; DOS at the Fermi energy = 5.136 states/eV/cell; M_tot = 0.01 μB per formula unit; calculated total energy = -25.37 eV/cell
1.0
-0.604 2.794 0.330
-3.304 -0.343 -3.145
-3.487 -1.203 3.795
Re W Br
1 1 2
Direct
0.500 0.500 0.000 Re
0.000 0.500 0.500 W
0.000 0.000 0.000 Br
0.500 0.000 0.500 Br

[6]
YReBr2 PBEsol optimized geometry; formation energy (no corrections) = 187 meV/atom; space-group type = P2/m, No. 10; DOS at the Fermi energy = 2.583 states/eV/cell; M_tot = 0.00 μB per formula unit; calculated total energy = -23.15 eV/cell
1.0
-1.223 -2.570 2.580
3.842 -1.973 -0.144
1.782 3.213 3.532
Re Br Y
1 2 1
Direct
0.500 0.500 0.000 Re
0.713 0.000 0.779 Br
0.287 0.000 0.221 Br
0.000 0.500 0.500 Y

[7]
YRe2Br PBEsol optimized geometry; formation energy (no corrections) = 983 meV/atom; space-group type = R-3m, No. 166; DOS at the Fermi energy = 4.547 states/eV/cell; M_tot = 0.00 μB per formula unit; calculated total energy = -31.42 eV/cell
1.0
-0.686 2.741 1.016
-2.682 1.203 -0.617
-4.532 -2.371 7.770
Re Y Br
2 1 1
Direct
0.744 0.744 0.767 Re
0.256 0.256 0.233 Re
0.500 0.500 0.500 Y
0.000 0.000 0.000 Br

[8]
YReBr2 PBEsol optimized geometry; formation energy (no corrections) = -149 meV/atom; space-group type = C2/m, No. 12; DOS at the Fermi energy = 3.015 states/eV/cell; M_tot = 0.71 μB per formula unit; calculated total energy = -24.49 eV/cell
1.0
-0.493 2.126 -2.577
-4.157 -1.878 -0.754
-2.486 3.448 5.533
Y Br Re
1 2 1
Direct
0.000 0.500 0.000 Y
0.342 0.262 0.683 Br
0.658 0.738 0.317 Br
0.500 0.000 0.000 Re

[9]
Zn2ReBr PBEsol optimized geometry; formation energy (no corrections) = 494 meV/atom; space-group type = Cmmm, No. 65; DOS at the Fermi energy = 1.936 states/eV/cell; M_tot = 0.00 μB per formula unit; calculated total energy = -16.39 eV/cell
1.0
2.935 0.036 0.000
-0.975 2.768 0.000
0.000 0.000 8.108
Br Zn Re
1 2 1
Direct
0.500 0.500 0.500 Br
0.000 0.000 0.232 Zn
0.000 0.000 0.768 Zn
0.500 0.500 0.000 Re

[10]
Zn2ReBr PBEsol optimized geometry; formation energy (no corrections) = 755 meV/atom; space-group type = Immm, No. 71; DOS at the Fermi energy = 3.197 states/eV/cell; M_tot = 0.00 μB per formula unit; calculated total energy = -15.35 eV/cell
1.0
2.917 0.000 0.000
0.000 4.559 0.000
-1.458 -2.280 4.796
Zn Br Re
2 1 1
Direct
0.267 0.267 0.533 Zn
0.733 0.733 0.467 Zn
0.500 0.000 0.000 Br
0.000 0.500 0.000 Re

[11]
Zn2ReBr PBEsol optimized geometry; formation energy (no corrections) = 596 meV/atom; space-group type = Cmm2, No. 35; DOS at the Fermi energy = 3.073 states/eV/cell; M_tot = 0.00 μB per formula unit; calculated total energy = -15.98 eV/cell
1.0
2.819 0.000 0.000
-1.409 2.575 0.000
0.000 0.000 9.679
Br Zn Re
1 2 1
Direct
0.000 0.000 0.543 Br
0.000 0.000 0.985 Zn
0.500 0.000 0.213 Zn
0.500 0.000 0.758 Re

[12]
Zn2ReBr PBEsol optimized geometry; formation energy (no corrections) = 748 meV/atom; space-group type = C2/m, No. 12; DOS at the Fermi energy = 2.705 states/eV/cell; M_tot = 0.00 μB per formula unit; calculated total energy = -15.37 eV/cell
1.0
2.898 0.000 0.000
0.000 4.591 -0.036
-1.449 -1.180 4.801
Br Re Zn
1 1 2
Direct
0.000 0.500 0.000 Br
0.500 0.000 0.000 Re
0.767 0.781 0.533 Zn
0.233 0.219 0.467 Zn

[13]
RhBr PBEsol optimized geometry; formation energy (no corrections) = 232 meV/atom; space-group type = Cm, No. 8; DOS at the Fermi energy = 6.693 states/eV/cell; M_tot = 0.00 μB per formula unit; calculated total energy = -28.63 eV/cell
1.0
3.270 0.000 0.000
1.635 6.121 0.438
1.635 3.115 5.824
Br Rh
3 3
Direct
0.684 0.703 0.929 Br
0.436 0.675 0.453 Br
0.950 0.149 0.951 Br
0.744 0.014 0.497 Rh
0.273 0.308 0.146 Rh
0.079 0.317 0.525 Rh

[14]
RhBr PBEsol optimized geometry; formation energy (no corrections) = 207 meV/atom; space-group type = Cm, No. 8; DOS at the Fermi energy = 4.841 states/eV/cell; M_tot = 0.00 μB per formula unit; calculated total energy = -28.78 eV/cell
1.0
-3.661 0.098 -0.046
-0.115 -1.637 5.673
2.003 6.206 -0.396
Br Rh
3 3
Direct
0.665 0.131 0.329 Br
0.584 0.591 0.169 Br
0.890 0.849 0.779 Br
0.938 0.460 0.875 Rh
0.461 0.158 0.923 Rh
0.296 0.311 0.591 Rh

[15]
RhBr PBEsol optimized geometry; formation energy (no corrections) = 600 meV/atom; space-group type = Cmmm, No. 65; DOS at the Fermi energy = 2.650 states/eV/cell; M_tot = 0.00 μB per formula unit; calculated total energy = -8.81 eV/cell
1.0
-2.529 -1.067 1.244
0.713 -0.912 -2.982
2.105 -3.245 1.496
Br Rh
1 1
Direct
0.000 0.000 0.000 Br
0.500 0.000 0.500 Rh

[16]
RhBr5 PBEsol optimized geometry; formation energy (no corrections) = 110 meV/atom; space-group type = Cm, No. 8; DOS at the Fermi energy = 6.325 states/eV/cell; M_tot = 1.05 μB per formula unit; calculated total energy = -16.83 eV/cell
1.0
-1.857 3.101 0.025
-6.348 -1.707 1.415
-1.271 1.284 7.659
Br Rh
5 1
Direct
0.927 0.645 0.500 Br
0.308 0.385 0.000 Br
0.975 0.052 0.999 Br
0.640 0.718 0.002 Br
0.680 0.140 0.499 Br
0.304 0.893 0.500 Rh

[17]
RuRhBr2 PBEsol optimized geometry; formation energy (no corrections) = 1104 meV/atom; space-group type = F-43m, No. 216; DOS at the Fermi energy = 5.908 states/eV/cell; M_tot = 0.99 μB per formula unit; calculated total energy = -17.63 eV/cell
1.0
4.581 0.000 0.000
2.290 3.967 0.000
2.290 1.322 3.740
Ru Rh Br
1 1 2
Direct
0.250 0.250 0.250 Ru
0.500 0.500 0.500 Rh
0.000 0.000 0.000 Br
0.750 0.750 0.750 Br

[18]
Ru2RhBr PBEsol optimized geometry; formation energy (no corrections) = 888 meV/atom; space-group type = Cmmm, No. 65; DOS at the Fermi energy = 7.355 states/eV/cell; M_tot = 0.59 μB per formula unit; calculated total energy = -26.80 eV/cell
1.0
-2.488 -1.172 0.032
2.201 -1.468 -0.824
1.387 -2.709 8.526
Rh Ru Br
1 2 1
Direct
0.500 0.000 0.000 Rh
0.000 0.000 0.243 Ru
0.000 0.000 0.757 Ru
0.500 0.000 0.500 Br

[19]
RuRhBr2 PBEsol optimized geometry; formation energy (no corrections) = 368 meV/atom; space-group type = P4mm, No. 99; DOS at the Fermi energy = 3.369 states/eV/cell; M_tot = 0.44 μB per formula unit; calculated total energy = -20.58 eV/cell
1.0
-1.716 -2.231 -1.157
-0.052 -1.369 2.717
-6.608 4.082 1.931
Ru Br Rh
1 2 1
Direct
0.500 0.500 0.717 Ru
0.000 0.000 0.930 Br
0.500 0.500 0.319 Br
0.000 0.000 0.535 Rh

[20]
RuRh2Br PBEsol optimized geometry; formation energy (no corrections) = 449 meV/atom; space-group type = Pmmm, No. 47; DOS at the Fermi energy = 4.579 states/eV/cell; M_tot = 0.00 μB per formula unit; calculated total energy = -26.52 eV/cell
1.0
-0.669 0.094 -2.667
-2.922 -1.801 0.670
-3.339 5.805 1.043
Rh Ru Br
2 1 1
Direct
0.000 0.000 0.194 Rh
0.000 0.000 0.806 Rh
0.500 0.500 0.000 Ru
0.000 0.500 0.500 Br

[21]
RuRh2Br PBEsol optimized geometry; formation energy (no corrections) = 706 meV/atom; space-group type = Cmmm, No. 65; DOS at the Fermi energy = 4.688 states/eV/cell; M_tot = 0.00 μB per formula unit; calculated total energy = -25.49 eV/cell
1.0
2.813 0.000 0.000
0.000 4.690 0.003
0.000 -1.603 4.408
Rh Ru Br
2 1 1
Direct
0.000 0.000 0.500 Rh
0.000 0.500 0.000 Rh
0.500 0.500 0.500 Ru
0.500 0.000 0.000 Br

[22]
RuRh2Br PBEsol optimized geometry; formation energy (no corrections) = 796 meV/atom; space-group type = I4/mmm, No. 139; DOS at the Fermi energy = 4.375 states/eV/cell; M_tot = 0.00 μB per formula unit; calculated total energy = -25.13 eV/cell
1.0
-0.794 3.012 2.431
-0.684 -2.551 2.938
4.353 -0.070 -1.703
Br Rh Ru
1 2 1
Direct
0.000 0.000 0.000 Br
0.250 0.750 0.500 Rh
0.750 0.250 0.500 Rh
0.500 0.500 0.000 Ru

[23]
RuRh2Br PBEsol optimized geometry; formation energy (no corrections) = 883 meV/atom; space-group type = P4/mmm, No. 123; DOS at the Fermi energy = 5.471 states/eV/cell; M_tot = 0.00 μB per formula unit; calculated total energy = -24.79 eV/cell
1.0
3.814 0.000 0.000
0.000 3.814 0.000
0.000 0.000 4.001
Ru Br Rh
1 1 2
Direct
0.500 0.500 0.500 Ru
0.000 0.000 0.500 Br
0.000 0.500 0.000 Rh
0.500 0.000 0.000 Rh

[24]
RuRhSe2Br PBEsol optimized geometry; formation energy (no corrections) = 1017 meV/atom; space-group type = P4/mmm, No. 123; DOS at the Fermi energy = 6.194 states/eV/cell; M_tot = 3.47 μB per formula unit; calculated total energy = -22.80 eV/cell
1.0
4.754 0.000 0.000
0.000 4.754 0.000
0.000 0.000 4.917
Ru Se Br Rh
1 2 1 1
Direct
0.500 0.500 0.500 Ru
0.500 0.000 0.000 Se
0.000 0.500 0.000 Se
0.000 0.000 0.500 Br
0.000 0.000 0.000 Rh

[25]
Rh3SBr PBEsol optimized geometry; formation energy (no corrections) = 1328 meV/atom; space-group type = Pm-3m, No. 221; DOS at the Fermi energy = 9.833 states/eV/cell; M_tot = 0.01 μB per formula unit; calculated total energy = -24.03 eV/cell
1.0
-1.581 -4.030 1.317
-0.456 -1.236 -4.329
4.215 -1.645 0.026
Rh Br S
3 1 1
Direct
0.500 0.000 0.000 Rh
0.000 0.500 0.000 Rh
0.000 0.000 0.500 Rh
0.000 0.000 0.000 Br
0.500 0.500 0.500 S

[26]
RhS2Br PBEsol optimized geometry; formation energy (no corrections) = -375 meV/atom; space-group type = R-3m, No. 166; DOS at the Fermi energy = 0.060 states/eV/cell; M_tot = 0.00 μB per formula unit; calculated total energy = -20.28 eV/cell
1.0
3.608 0.000 0.000
1.804 3.124 0.000
1.804 1.041 7.063
S Br Rh
2 1 1
Direct
0.115 0.115 0.655 S
0.885 0.885 0.345 S
0.000 0.000 0.000 Br
0.500 0.500 0.500 Rh

[27]
Zr2SbRhBr PBEsol optimized geometry; formation energy (no corrections) = 908 meV/atom; space-group type = P4/mmm, No. 123; DOS at the Fermi energy = 3.321 states/eV/cell; M_tot = 0.00 μB per formula unit; calculated total energy = -28.21 eV/cell
1.0
-3.639 3.052 0.657
-2.951 -3.032 -2.254
-1.120 -2.325 4.593
Rh Sb Zr Br
1 1 2 1
Direct
0.500 0.500 0.500 Rh
0.000 0.000 0.500 Sb
0.000 0.500 0.000 Zr
0.500 0.000 0.000 Zr
0.000 0.000 0.000 Br

[28]
ScRh2Br PBEsol optimized geometry; formation energy (no corrections) = -202 meV/atom; space-group type = Imm2, No. 44; DOS at the Fermi energy = 1.478 states/eV/cell; M_tot = 0.00 μB per formula unit; calculated total energy = -25.56 eV/cell
1.0
-1.048 -2.974 -0.867
3.788 -0.791 -1.864
0.198 0.191 5.270
Rh Br Sc
2 1 1
Direct
0.012 0.012 0.025 Rh
0.257 0.757 0.514 Rh
0.739 0.239 0.478 Br
0.492 0.492 0.983 Sc

[29]
ScRh2Br PBEsol optimized geometry; formation energy (no corrections) = -282 meV/atom; space-group type = Immm, No. 71; DOS at the Fermi energy = 3.224 states/eV/cell; M_tot = 0.00 μB per formula unit; calculated total energy = -25.88 eV/cell
1.0
-0.895 -2.913 -0.519
2.640 -0.148 -3.720
2.545 0.038 4.604
Br Rh Sc
1 2 1
Direct
0.500 0.000 0.000 Br
0.240 0.240 0.480 Rh
0.760 0.760 0.520 Rh
0.000 0.500 0.000 Sc

[30]
ScRhBr2 PBEsol optimized geometry; formation energy (no corrections) = -358 meV/atom; space-group type = P4/mmm, No. 123; DOS at the Fermi energy = 3.311 states/eV/cell; M_tot = 0.00 μB per formula unit; calculated total energy = -19.91 eV/cell
1.0
-0.103 3.450 -0.597
-1.036 -0.775 -4.301
-4.369 0.050 1.043
Rh Sc Br
1 1 2
Direct
0.500 0.500 0.500 Rh
0.500 0.000 0.000 Sc
0.000 0.500 0.000 Br
0.000 0.000 0.500 Br